# Ac6Pr2Y | Alexandria | GGA-PBE | optimized geometry
data_Ac6Pr2Y
_chemical_formula_sum 'Ac12 Pr4 Y2'
_symmetry_space_group_name_H-M 'C 1 2/m 1'
_symmetry_Int_Tables_number 12
_cell_length_a 16.266
_cell_length_b 5.536
_cell_length_c 11.627
_cell_angle_alpha 90.00
_cell_angle_beta 134.34
_cell_angle_gamma 90.00
loop_
_symmetry_equiv_pos_as_xyz
'x,y,z'
'-x,-y,-z'
'-x,y,-z'
'x,-y,z'
'x+1/2,y+1/2,z'
'-x+1/2,-y+1/2,-z'
'-x+1/2,y+1/2,-z'
'x+1/2,-y+1/2,z'
loop_
_atom_site_label
_atom_site_type_symbol
_atom_site_fract_x
_atom_site_fract_y
_atom_site_fract_z
Ac1 Ac 0.004 0.000 0.332
Ac2 Ac 0.161 0.500 0.000
Ac3 Ac 0.172 0.500 0.668
Pr1 Pr 0.166 0.500 0.331
Y1 Y 0.000 0.000 0.000
# ρ = 7.7 g/cm3
# Crystal system = monoclinic
# Excess energy over the best structure of this formula in the dataset = 0 meV per atom
# V = 748.76 Å³/cell
# E = -0.1650 Ha/atom